[1]
A plane-wave DFT calculation with PBE-GGA was carried out for a geometry-optimized Ba3DyRu2O9 structure.

For the energy above the lowest structure with this stoichiometry, the calculation gives 18.5 meV per atom. The value obtained for the uncorrected formation energy is -50.58 kcal/mol of atoms.

Lattice parameters (Å, degrees): 5.886 5.886 7.247 90.00 90.00 120.00
Atoms (fractional coordinates):
Ba1 0.000 0.000 0.000
Ba2 0.333 0.667 0.677
Ba3 0.667 0.333 0.323
Dy1 0.000 0.000 0.500
Ru1 0.333 0.667 0.162
Ru2 0.667 0.333 0.838
O1 0.000 0.500 0.000
O2 0.176 0.352 0.319
O3 0.176 0.824 0.319
O4 0.352 0.176 0.681
O5 0.500 0.000 0.000
O6 0.500 0.500 0.000
O7 0.648 0.824 0.319
O8 0.824 0.176 0.681
O9 0.824 0.648 0.681

=====

[2]
A plane-wave DFT calculation with PBE-GGA was carried out for a geometry-optimized La3TbY structure.

The value obtained for the formation energy is 0.12 eV per atom.

Lattice parameters (Å, degrees): 6.787 3.553 14.756 90.00 98.42 90.00
Atoms (fractional coordinates):
La1 0.065 0.250 0.199
La2 0.113 0.750 0.600
La3 0.264 0.750 0.013
La4 0.736 0.250 0.987
La5 0.887 0.250 0.400
La6 0.935 0.750 0.801
Tb1 0.444 0.750 0.794
Tb2 0.556 0.250 0.206
Y1 0.384 0.750 0.394
Y2 0.616 0.250 0.606

=====

[3]
A plane-wave DFT calculation with PBE-GGA was carried out for a geometry-optimized AcErCdGa structure.

The value obtained for the formation energy is -0.35 eV per atom.

Lattice parameters (Å, degrees): 7.677 7.677 7.677 90.00 90.00 90.00
Atoms (fractional coordinates):
Ac1 0.000 0.000 0.000
Ac2 0.000 0.500 0.500
Ac3 0.500 0.000 0.500
Ac4 0.500 0.500 0.000
Er1 0.000 0.000 0.500
Er2 0.000 0.500 0.000
Er3 0.500 0.000 0.000
Er4 0.500 0.500 0.500
Cd1 0.250 0.250 0.750
Cd2 0.250 0.750 0.250
Cd3 0.750 0.250 0.250
Cd4 0.750 0.750 0.750
Ga1 0.250 0.250 0.250
Ga2 0.250 0.750 0.750
Ga3 0.750 0.250 0.750
Ga4 0.750 0.750 0.250

=====

[4]
A plane-wave DFT calculation with PBE-GGA was carried out for a geometry-optimized ZrTc2Ru structure.

For the energy above the lowest structure with this stoichiometry, the calculation gives 47.3 meV per atom. The value obtained for the formation energy is -0.01 eV per atom.

Lattice parameters (Å, degrees): 4.490 4.490 6.372 90.00 90.00 90.00
Atoms (fractional coordinates):
Zr1 0.000 0.000 0.000
Zr2 0.500 0.500 0.500
Tc1 0.000 0.000 0.500
Tc2 0.000 0.500 0.250
Tc3 0.500 0.000 0.750
Tc4 0.500 0.500 0.000
Ru1 0.000 0.500 0.750
Ru2 0.500 0.000 0.250

=====

[5]
A plane-wave DFT calculation with PBE-GGA was carried out for a geometry-optimized AcCdInHg structure.

The value obtained for the formation energy is -0.36 eV per atom.

Lattice parameters (Å, degrees): 7.680 7.680 7.680 90.00 90.00 90.00
Atoms (fractional coordinates):
Ac1 0.000 0.000 0.000
Ac2 0.000 0.500 0.500
Ac3 0.500 0.000 0.500
Ac4 0.500 0.500 0.000
Cd1 0.250 0.250 0.250
Cd2 0.250 0.750 0.750
Cd3 0.750 0.250 0.750
Cd4 0.750 0.750 0.250
In1 0.000 0.000 0.500
In2 0.000 0.500 0.000
In3 0.500 0.000 0.000
In4 0.500 0.500 0.500
Hg1 0.250 0.250 0.750
Hg2 0.250 0.750 0.250
Hg3 0.750 0.250 0.250
Hg4 0.750 0.750 0.750

=====

[6]
A plane-wave DFT calculation with PBE-GGA was carried out for a geometry-optimized FeHgBiPt structure.

For the energy above the lowest structure with this stoichiometry, the calculation gives 222.6 meV per atom. The value obtained for the formation energy is 0.33 eV per atom.

Lattice parameters (Å, degrees): 4.769 4.769 6.784 90.00 90.00 90.00
Atoms (fractional coordinates):
Fe1 0.000 0.000 0.000
Fe2 0.500 0.500 0.500
Hg1 0.000 0.500 0.250
Hg2 0.500 0.000 0.750
Bi1 0.000 0.500 0.750
Bi2 0.500 0.000 0.250
Pt1 0.000 0.000 0.500
Pt2 0.500 0.500 0.000

=====

[7]
A plane-wave DFT calculation with PBE-GGA was carried out for a geometry-optimized LiPu2I6 structure.

For the energy above the lowest structure with this stoichiometry, the calculation gives 0.0 meV per atom. The value obtained for the uncorrected formation energy is -25.87 kcal/mol of atoms.

Lattice parameters (Å, degrees): 8.751 8.751 10.963 107.62 107.62 29.58
Atoms (fractional coordinates):
Li1 0.000 0.000 0.000
Pu1 0.341 0.341 0.677
Pu2 0.659 0.659 0.323
I1 0.026 0.026 0.303
I2 0.300 0.300 0.369
I3 0.373 0.373 0.967
I4 0.627 0.627 0.033
I5 0.700 0.700 0.631
I6 0.974 0.974 0.697

=====

[8]
A plane-wave DFT calculation with PBE-GGA was carried out for a geometry-optimized Pm12YRu7 structure.

The value obtained for the formation energy is -0.10 eV per atom.

Lattice parameters (Å, degrees): 8.789 8.789 8.789 106.25 106.25 106.25
Atoms (fractional coordinates):
Pm1 0.055 0.347 0.119
Pm2 0.119 0.055 0.347
Pm3 0.216 0.754 0.584
Pm4 0.246 0.416 0.784
Pm5 0.347 0.119 0.055
Pm6 0.416 0.784 0.246
Pm7 0.584 0.216 0.754
Pm8 0.653 0.881 0.945
Pm9 0.754 0.584 0.216
Pm10 0.784 0.246 0.416
Pm11 0.881 0.945 0.653
Pm12 0.945 0.653 0.881
Y1 0.500 0.500 0.500
Ru1 0.000 0.000 0.000
Ru2 0.116 0.399 0.460
Ru3 0.399 0.460 0.116
Ru4 0.460 0.116 0.399
Ru5 0.540 0.884 0.601
Ru6 0.601 0.540 0.884
Ru7 0.884 0.601 0.540

=====

[9]
A plane-wave DFT calculation with PBE-GGA was carried out for a geometry-optimized Pm3Pb2C structure.

The value obtained for the formation energy is -0.28 eV per atom.

Lattice parameters (Å, degrees): 8.191 8.191 7.099 100.83 100.83 46.33
Atoms (fractional coordinates):
Pm1 0.061 0.939 0.750
Pm2 0.328 0.443 0.418
Pm3 0.443 0.328 0.918
Pm4 0.557 0.672 0.082
Pm5 0.672 0.557 0.582
Pm6 0.939 0.061 0.250
Pb1 0.118 0.259 0.073
Pb2 0.259 0.118 0.573
Pb3 0.741 0.882 0.427
Pb4 0.882 0.741 0.927
C1 0.432 0.568 0.750
C2 0.568 0.432 0.250

=====

[10]
A plane-wave DFT calculation with PBE-GGA was carried out for a geometry-optimized SrLiTlCd structure.

The value obtained for the formation energy is -0.24 eV per atom.

Lattice parameters (Å, degrees): 7.458 7.458 7.458 90.00 90.00 90.00
Atoms (fractional coordinates):
Sr1 0.000 0.000 0.000
Sr2 0.000 0.500 0.500
Sr3 0.500 0.000 0.500
Sr4 0.500 0.500 0.000
Li1 0.250 0.250 0.750
Li2 0.250 0.750 0.250
Li3 0.750 0.250 0.250
Li4 0.750 0.750 0.750
Tl1 0.000 0.000 0.500
Tl2 0.000 0.500 0.000
Tl3 0.500 0.000 0.000
Tl4 0.500 0.500 0.500
Cd1 0.250 0.250 0.250
Cd2 0.250 0.750 0.750
Cd3 0.750 0.250 0.750
Cd4 0.750 0.750 0.250

=====

[11]
A plane-wave DFT calculation with PBE-GGA was carried out for a geometry-optimized K2NaInAs2 structure.

The value obtained for the formation energy is -0.50 eV per atom.

Lattice parameters (Å, degrees): 9.138 9.138 9.138 136.31 63.73 136.01
Atoms (fractional coordinates):
K1 0.175 0.241 0.416
K2 0.325 0.741 0.065
K3 0.675 0.259 0.935
K4 0.825 0.759 0.584
Na1 0.250 0.250 0.000
Na2 0.750 0.750 0.000
In1 0.250 0.750 0.500
In2 0.750 0.250 0.500
As1 0.102 0.718 0.820
As2 0.398 0.218 0.616
As3 0.602 0.782 0.384
As4 0.898 0.282 0.180

=====

[12]
A plane-wave DFT calculation with PBE-GGA was carried out for a geometry-optimized NaIn4GeO8 structure.

The value obtained for the uncorrected formation energy is -34.38 kcal/mol of atoms.

Lattice parameters (Å, degrees): 6.397 6.397 6.397 61.13 61.13 61.13
Atoms (fractional coordinates):
Na1 0.000 0.000 0.000
In1 0.001 0.001 0.501
In2 0.001 0.501 0.001
In3 0.384 0.384 0.384
In4 0.501 0.001 0.001
Ge1 0.619 0.619 0.619
O1 0.246 0.246 0.246
O2 0.251 0.251 0.777
O3 0.251 0.777 0.251
O4 0.268 0.737 0.737
O5 0.737 0.268 0.737
O6 0.737 0.737 0.268
O7 0.746 0.746 0.746
O8 0.777 0.251 0.251

=====

| no. | raw total energy (eV per formula unit) | calculated volume (A^3/atom) |
| --- | --- | --- |
| 1 | -106.45 | 14.50 |
| 2 | -25.28 | 35.20 |
| 3 | -14.01 | 28.28 |
| 4 | -38.61 | 16.05 |
| 5 | -9.49 | 28.32 |
| 6 | -17.35 | 19.28 |
| 7 | -49.97 | 43.74 |
| 8 | -130.37 | 28.83 |
| 9 | -32.57 | 28.10 |
| 10 | -7.84 | 25.93 |
| 11 | -18.54 | 30.10 |
| 12 | -77.43 | 13.55 |